1.
Compound: UMn3Ga
Source: the Alexandria database
Functional: GGA-PBE
Structure: relaxed

Unit cell a=4.479 b=5.281 c=6.222 alpha=90.00 beta=99.71 gamma=90.00
Element x y z (fractional)
Ga  0.836  0.750  0.392
U  0.677  0.250  0.166
Mn  0.948  0.750  0.014
Mn  0.680  0.003  0.691
Mn  0.320  0.503  0.309
Ga  0.164  0.250  0.608
U  0.323  0.750  0.834
Mn  0.320  0.997  0.309
Mn  0.680  0.497  0.691
Mn  0.052  0.250  0.986

## Properties
For the energy relative to the elements, the calculation gives -0.076 eV/atom. As for the space group: P2_1/m, No. 11. Its volume is 145.1 Å³ per cell.

2.
Compound: SmBeAl2Ru2
Source: the Alexandria database
Functional: GGA-PBE
Structure: relaxed

Unit cell a=4.325 b=4.325 c=5.464 alpha=90.00 beta=90.00 gamma=90.00
Element x y z (fractional)
Be  0.000  0.000  0.000
Al  0.500  0.500  0.751
Ru  0.000  0.500  0.000
Sm  0.000  0.000  0.500
Ru  0.500  0.000  0.000
Al  0.500  0.500  0.249

## Properties
For the energy relative to the elements, the calculation gives -0.492 eV/atom. As for the space group: P4/mmm, No. 123. Its volume is 102.2 Å³ per cell.

3.
Compound: BaLa3As
Source: the Alexandria database
Functional: GGA-PBE
Structure: relaxed

Unit cell a=5.930 b=5.930 c=5.930 alpha=90.00 beta=90.00 gamma=90.00
Element x y z (fractional)
La  0.000  0.500  0.000
Ba  0.500  0.500  0.500
La  0.500  0.000  0.000
As  0.000  0.000  0.000
La  0.000  0.000  0.500

## Properties
For the energy relative to the elements, the calculation gives -0.396 eV/atom. As for the space group: Pm-3m, No. 221. Its volume is 208.5 Å³ per cell.

Final energy (computed, eV/atom): -8.441; -6.239; -4.667